Record 1
CsSnS2N: optimized geometry, PBE.

a = 5.693 Å, b = 5.693 Å, c = 4.451 Å
α = 90.00°, β = 90.00°, γ = 90.00°
Space group P4/mmm (No. 123)
Inequivalent atoms, fractional coordinates:
Cs  0.000  0.000  0.000 [1 per cell]
Sn  0.500  0.500  0.500 [1 per cell]
S  0.000  0.500  0.000 [2 per cell]
N  0.000  0.000  0.500 [1 per cell]

For the total energy, the calculation gives -2.7422 eV/atom. The calculation puts the size of the total moment at 1.81 μB/f.u. The crystal system is tetragonal.

=====

Record 2
CsMn3S: optimized geometry, PBE.

a = 5.066 Å, b = 5.066 Å, c = 5.066 Å
α = 90.00°, β = 90.00°, γ = 90.00°
Space group Pm-3m (No. 221)
Inequivalent atoms, fractional coordinates:
Cs  0.000  0.000  0.000 [1 per cell]
Mn  0.000  0.000  0.500 [3 per cell]
S  0.500  0.500  0.500 [1 per cell]

For the total energy, the calculation gives -4.1484 eV/atom. The calculation puts the size of the total moment at 11.19 μB/f.u. The crystal system is cubic.

=====

Record 3
Sr2NiH2: optimized geometry, PBE.

a = 7.230 Å, b = 7.230 Å, c = 3.323 Å
α = 90.00°, β = 90.00°, γ = 90.00°
Space group P4/mbm (No. 127)
Inequivalent atoms, fractional coordinates:
Sr  0.181  0.319  0.000 [4 per cell]
Ni  0.000  0.000  0.500 [2 per cell]
H  0.123  0.623  0.500 [4 per cell]

For the total energy, the calculation gives -3.2447 eV/atom. The calculation puts the size of the total moment at 0.00 μB/f.u. The crystal system is tetragonal.

=====

Record 4
LaTa2Cl: optimized geometry, PBE.

a = 3.036 Å, b = 5.455 Å, c = 10.097 Å
α = 90.00°, β = 90.00°, γ = 90.00°
Space group Cmmm (No. 65)
Inequivalent atoms, fractional coordinates:
La  0.000  0.000  0.000 [2 per cell]
Ta  0.000  0.500  0.280 [4 per cell]
Cl  0.000  0.000  0.500 [2 per cell]

For the total energy, the calculation gives -7.1214 eV/atom. The calculation puts the size of the total moment at 0.00 μB/f.u. The crystal system is orthorhombic.

=====

Record 5
PaCoTc2P2: optimized geometry, PBE.

a = 4.385 Å, b = 4.385 Å, c = 5.044 Å
α = 90.00°, β = 90.00°, γ = 90.00°
Space group P4/mmm (No. 123)
Inequivalent atoms, fractional coordinates:
Pa  0.000  0.000  0.000 [1 per cell]
Co  0.000  0.000  0.500 [1 per cell]
Tc  0.500  0.500  0.238 [2 per cell]
P  0.000  0.500  0.500 [2 per cell]

The calculation puts the size of the total moment at 0.00 μB/f.u. The crystal system is tetragonal. For the formation energy from the elements, the calculation gives -14.1 kJ per mole of atoms.

=====

Record 6
Y2HoZn2: optimized geometry, PBE.

a = 8.206 Å, b = 8.206 Å, c = 3.744 Å
α = 90.00°, β = 90.00°, γ = 90.00°
Space group P4/mbm (No. 127)
Inequivalent atoms, fractional coordinates:
Y  0.166  0.334  0.000 [4 per cell]
Ho  0.000  0.000  0.500 [2 per cell]
Zn  0.131  0.631  0.500 [4 per cell]

The calculation puts the size of the total moment at 0.00 μB/f.u. The crystal system is tetragonal. For the formation energy from the elements, the calculation gives -23.4 kJ per mole of atoms.

=====

Record 7
RbCaPO2: optimized geometry, PBE.

a = 4.768 Å, b = 4.768 Å, c = 5.374 Å
α = 90.00°, β = 90.00°, γ = 90.00°
Space group P4/mmm (No. 123)
Inequivalent atoms, fractional coordinates:
Rb  0.000  0.000  0.000 [1 per cell]
Ca  0.500  0.500  0.500 [1 per cell]
P  0.000  0.000  0.500 [1 per cell]
O  0.000  0.500  0.000 [2 per cell]

For the total energy, the calculation gives -3.2723 eV/atom. The calculation puts the size of the total moment at 2.80 μB/f.u. The crystal system is tetragonal.

=====

Record 8
Li2OsW: optimized geometry, PBE.

a = 2.554 Å, b = 2.554 Å, c = 9.078 Å
α = 90.00°, β = 90.00°, γ = 90.00°
Space group P4/mmm (No. 123)
Inequivalent atoms, fractional coordinates:
Li  0.000  0.000  0.236 [2 per cell]
Os  0.500  0.500  0.000 [1 per cell]
W  0.500  0.500  0.500 [1 per cell]

The calculation puts the size of the total moment at 0.00 μB/f.u. The crystal system is tetragonal. For the formation energy from the elements, the calculation gives 49.5 kJ per mole of atoms.